(1)
Computed, not measured: a relaxed structure of ZnNiSnTe3 at the PBE-GGA level of DFT.

Calculated values
E: -3.43 eV per atom
SG: Cmcm, No. 63
total moment: 0.000 μB/atom
energy relative to the lowest polymorph listed for this composition: 11 meV per atom

abc: 8.099 8.099 9.688
angles: 90.00 90.00 28.44
Sites, in units of the cell vectors:
1 Ni 0.472 0.472 0.250
2 Ni 0.528 0.528 0.750
3 Sn 0.758 0.758 0.250
4 Sn 0.242 0.242 0.750
5 Te 0.358 0.358 0.062
6 Te 0.075 0.075 0.250
7 Te 0.358 0.358 0.438
8 Te 0.642 0.642 0.562
9 Te 0.925 0.925 0.750
10 Te 0.642 0.642 0.938
11 Zn 0.000 0.000 0.000
12 Zn 0.000 0.000 0.500

(2)
Computed, not measured: a relaxed structure of ZnNiSnTe3 at the PBE-GGA level of DFT.

Calculated values
E: -3.44 eV per atom
SG: Cmcm, No. 63
total moment: 0.000 μB/atom
energy relative to the lowest polymorph listed for this composition: 0 meV per atom

abc: 10.661 7.250 7.250
angles: 32.34 90.00 90.00
Sites, in units of the cell vectors:
1 Ni 0.250 0.000 0.000
2 Ni 0.750 0.000 0.000
3 Sn 0.500 0.235 0.235
4 Sn 0.000 0.765 0.765
5 Te 0.000 0.087 0.087
6 Te 0.212 0.372 0.372
7 Te 0.788 0.372 0.372
8 Te 0.288 0.628 0.628
9 Te 0.712 0.628 0.628
10 Te 0.500 0.913 0.913
11 Zn 0.000 0.465 0.465
12 Zn 0.500 0.535 0.535

(3)
Computed, not measured: a relaxed structure of Th3Ni3Sn4 at the PBE-GGA level of DFT.

Calculated values
E: -6.13 eV per atom
SG: I-43d, No. 220
total moment: 0.013 μB/atom

abc: 8.377 8.377 8.377
angles: 109.47 109.47 109.47
Sites, in units of the cell vectors:
1 Ni 0.875 0.250 0.125
2 Ni 0.125 0.875 0.250
3 Ni 0.625 0.750 0.375
4 Ni 0.750 0.375 0.625
5 Ni 0.375 0.625 0.750
6 Ni 0.250 0.125 0.875
7 Sn 0.342 0.500 0.000
8 Sn 0.842 0.500 0.000
9 Sn 0.158 0.158 0.158
10 Sn 0.500 0.000 0.342
11 Sn 0.000 0.342 0.500
12 Sn 0.000 0.842 0.500
13 Sn 0.658 0.658 0.658
14 Sn 0.500 0.000 0.842
15 Th 0.750 0.875 0.125
16 Th 0.625 0.375 0.250
17 Th 0.250 0.625 0.375
18 Th 0.375 0.250 0.625
19 Th 0.875 0.125 0.750
20 Th 0.125 0.750 0.875

(4)
Computed, not measured: a relaxed structure of TlNiSn at the PBE-GGA level of DFT.

Calculated values
E: -3.96 eV per atom
SG: F-43m, No. 216
total moment: 0.003 μB/atom
energy relative to the lowest polymorph listed for this composition: 0 meV per atom

abc: 4.498 4.498 4.498
angles: 60.00 60.00 60.00
Sites, in units of the cell vectors:
1 Ni 0.000 0.000 0.000
2 Sn 0.250 0.250 0.250
3 Tl 0.750 0.750 0.750

(5)
Computed, not measured: a relaxed structure of TmNiSn2 at the PBE-GGA level of DFT.

Calculated values
E: -5.06 eV per atom
SG: Pnma, No. 62
total moment: 0.000 μB/atom

abc: 16.086 4.413 14.501
angles: 90.00 90.00 90.00
Sites, in units of the cell vectors:
1 Ni 0.800 0.250 0.046
2 Ni 0.447 0.750 0.107
3 Ni 0.192 0.750 0.244
4 Ni 0.692 0.750 0.256
5 Ni 0.947 0.750 0.393
6 Ni 0.300 0.250 0.454
7 Ni 0.700 0.750 0.546
8 Ni 0.053 0.250 0.607
9 Ni 0.308 0.250 0.744
10 Ni 0.808 0.250 0.756
11 Ni 0.553 0.250 0.893
12 Ni 0.200 0.750 0.954
13 Sn 0.958 0.250 0.053
14 Sn 0.521 0.250 0.078
15 Sn 0.285 0.750 0.104
16 Sn 0.825 0.750 0.132
17 Sn 0.684 0.250 0.177
18 Sn 0.030 0.750 0.235
19 Sn 0.530 0.750 0.265
20 Sn 0.184 0.250 0.323
21 Sn 0.325 0.750 0.368
22 Sn 0.785 0.750 0.396
23 Sn 0.021 0.250 0.422
24 Sn 0.458 0.250 0.447
25 Sn 0.542 0.750 0.553
26 Sn 0.979 0.750 0.578
27 Sn 0.215 0.250 0.604
28 Sn 0.675 0.250 0.632
29 Sn 0.816 0.750 0.677
30 Sn 0.470 0.250 0.735
31 Sn 0.970 0.250 0.765
32 Sn 0.316 0.750 0.823
33 Sn 0.175 0.250 0.868
34 Sn 0.715 0.250 0.896
35 Sn 0.479 0.750 0.922
36 Sn 0.042 0.750 0.947
37 Tm 0.651 0.750 0.028
38 Tm 0.147 0.250 0.103
39 Tm 0.373 0.250 0.226
40 Tm 0.873 0.250 0.274
41 Tm 0.647 0.250 0.397
42 Tm 0.151 0.750 0.472
43 Tm 0.849 0.250 0.528
44 Tm 0.353 0.750 0.603
45 Tm 0.127 0.750 0.726
46 Tm 0.627 0.750 0.774
47 Tm 0.853 0.750 0.897
48 Tm 0.349 0.250 0.972

(6)
Computed, not measured: a relaxed structure of Tm2NiSn2 at the PBE-GGA level of DFT.

Calculated values
E: -5.15 eV per atom
SG: C2/m, No. 12
total moment: 0.001 μB/atom

abc: 5.805 5.805 10.738
angles: 114.59 114.59 44.64
Sites, in units of the cell vectors:
1 Ni 0.282 0.282 0.168
2 Ni 0.718 0.718 0.832
3 Sn 0.660 0.660 0.057
4 Sn 0.530 0.530 0.379
5 Sn 0.470 0.470 0.621
6 Sn 0.340 0.340 0.943
7 Tm 0.002 0.002 0.170
8 Tm 0.817 0.817 0.382
9 Tm 0.183 0.183 0.618
10 Tm 0.998 0.998 0.830

(7)
Computed, not measured: a relaxed structure of UNiSn at the PBE-GGA level of DFT.

Calculated values
E: -7.08 eV per atom
SG: F-43m, No. 216
total moment: 0.698 μB/atom

abc: 4.518 4.518 4.518
angles: 60.00 60.00 60.00
Last column: magnetic moment on the atom in μB.
Sites, in units of the cell vectors:
1 Ni 0.000 0.000 0.000  -0.07
2 Sn 0.250 0.250 0.250  -0.03
3 U 0.750 0.750 0.750  2.01

(8)
Computed, not measured: a relaxed structure of UNiSn at the PBE-GGA level of DFT.

Calculated values
E: -6.17 eV per atom
SG: F-43m, No. 216
total moment: 0.102 μB/atom

abc: 4.753 4.753 4.753
angles: 120.00 90.00 120.00
Last column: magnetic moment on the atom in μB.
Sites, in units of the cell vectors:
1 Ni 0.000 0.000 0.000  -0.16
2 Sn 0.500 0.000 0.500  -0.02
3 U 0.750 0.500 0.250  0.51

(9)
Computed, not measured: a relaxed structure of U3Ni3Sn4 at the PBE-GGA level of DFT.

Calculated values
E: -6.87 eV per atom
SG: I-43d, No. 220
total moment: 0.199 μB/atom

abc: 8.104 8.104 8.104
angles: 109.47 109.47 109.47
Last column: magnetic moment on the atom in μB.
Sites, in units of the cell vectors:
1 Ni 0.250 0.375 0.125  -0.13
2 Ni 0.875 0.625 0.250  -0.13
3 Ni 0.750 0.125 0.375  -0.13
4 Ni 0.375 0.250 0.625  -0.13
5 Ni 0.625 0.875 0.750  -0.13
6 Ni 0.125 0.750 0.875  -0.13
7 Sn 0.500 0.336 0.000  -0.05
8 Sn 0.500 0.836 0.000  -0.05
9 Sn 0.164 0.664 0.164  -0.05
10 Sn 0.000 0.000 0.336  -0.05
11 Sn 0.336 0.500 0.500  -0.05
12 Sn 0.836 0.500 0.500  -0.05
13 Sn 0.664 0.164 0.664  -0.05
14 Sn 0.000 0.000 0.836  -0.05
15 U 0.875 0.250 0.125  0.86
16 U 0.375 0.125 0.250  0.87
17 U 0.625 0.750 0.375  0.86
18 U 0.250 0.875 0.625  0.85
19 U 0.125 0.375 0.750  0.88
20 U 0.750 0.625 0.875  0.85

(10)
Computed, not measured: a relaxed structure of Ni2SnW at the PBE-GGA level of DFT.

Calculated values
E: -6.67 eV per atom
SG: F-43m, No. 216
total moment: 0.092 μB/atom

abc: 4.367 4.367 4.367
angles: 60.00 60.00 60.00
Last column: magnetic moment on the atom in μB.
Sites, in units of the cell vectors:
1 Ni 0.000 0.000 0.000  0.12
2 Ni 0.750 0.750 0.750  0.05
3 Sn 0.500 0.500 0.500  0.02
4 W 0.250 0.250 0.250  0.18

(11)
Computed, not measured: a relaxed structure of NiSnW at the PBE-GGA level of DFT.

Calculated values
E: -6.65 eV per atom
SG: F-43m, No. 216
total moment: 0.163 μB/atom
energy relative to the lowest polymorph listed for this composition: 398 meV per atom

abc: 4.359 4.359 4.359
angles: 60.00 60.00 60.00
Sites, in units of the cell vectors:
1 Ni 0.250 0.250 0.250
2 Sn 0.750 0.750 0.750
3 W 0.000 0.000 0.000

(12)
Computed, not measured: a relaxed structure of NiSnW at the PBE-GGA level of DFT.

Calculated values
E: -7.05 eV per atom
SG: F-43m, No. 216
total moment: 0.552 μB/atom
energy relative to the lowest polymorph listed for this composition: 0 meV per atom

abc: 4.192 4.192 4.192
angles: 60.00 60.00 60.00
Sites, in units of the cell vectors:
1 Ni 0.000 0.000 0.000
2 Sn 0.250 0.250 0.250
3 W 0.750 0.750 0.750